Here is an optimized crystal structure of TaOF3 from the Alexandria database. Energies are from PBE.

Cell: 3.6075 5.5653 5.5653 Å, 34.75 90.00 90.00°
Closest atoms and distances in Å follow each position.
Positions (direct):
Ta 0.0000 0.0000 0.0000  2 O 1.91, 2 F 2.11
O 0.0000 0.5881 0.5881  2 Ta 1.91
F 0.0000 0.3647 0.3647  2 Ta 2.20, 1 O 2.37
F 0.5000 0.1097 0.1097  2 Ta 2.15, 1 F 2.25
F 0.5000 0.8978 0.8978  2 Ta 2.11, 1 F 2.25

## Properties
For the magnetization, the calculation gives 0.00 μB per formula unit. Its formation energy from raw total energies is -2.86 eV per atom.

=====

Here is an optimized crystal structure of KTlCo2Cl8 from the Alexandria database. Energies are from PBE.

Cell: 10.0405 10.0405 10.0405 Å, 39.73 39.73 39.73°
Closest atoms and distances in Å follow each position.
Positions (direct):
K 0.0000 0.0000 0.0000  6 Cl 3.28
Tl 0.5000 0.5000 0.5000  6 Cl 3.48
Co 0.2412 0.2412 0.2412  4 Cl 2.16-2.18
Co 0.7588 0.7588 0.7588  4 Cl 2.16-2.18
Cl 0.0625 0.6724 0.4654  1 Co 2.18
Cl 0.1631 0.1631 0.1631  1 Co 2.16
Cl 0.3276 0.5346 0.9375  1 Co 2.18
Cl 0.4654 0.0625 0.6724  1 Co 2.18
Cl 0.5346 0.9375 0.3276  1 Co 2.18
Cl 0.6724 0.4654 0.0625  1 Co 2.18
Cl 0.8369 0.8369 0.8369  1 Co 2.16
Cl 0.9375 0.3276 0.5346  1 Co 2.18

## Properties
For the magnetization, the calculation gives 8.00 μB per formula unit. Its formation energy from raw total energies is -0.86 eV per atom.